Record 1
The following is a PBE-GGA calculation of a geometry-optimized CuP2SF structure, from Alexandria.

abc: 4.490 4.490 4.414
angles: 90.00 90.00 90.00
Space group P4/mmm (No. 123)
Asymmetric unit:
1 Cu 0.000 0.000 0.000
2 P 0.000 0.500 0.000
3 S 0.000 0.000 0.500
4 F 0.500 0.500 0.500

Final energy   -3.51 eV per atom
Formation energy without anion corrections   3.34 eV per formula unit
Excess energy over the best structure of this formula in the dataset   0 meV/atom

---

Record 2
The following is a PBE-GGA calculation of a geometry-optimized CuPS2F structure, from Alexandria.

abc: 4.836 4.836 3.705
angles: 90.00 90.00 90.00
Space group P4/mmm (No. 123)
Asymmetric unit:
1 Cu 0.000 0.000 0.000
2 P 0.500 0.500 0.000
3 S 0.000 0.500 0.500
4 F 0.500 0.500 0.500

Final energy   -3.05 eV per atom
Formation energy without anion corrections   4.41 eV per formula unit
Excess energy over the best structure of this formula in the dataset   239 meV/atom

---

Record 3
The following is a PBE-GGA calculation of a geometry-optimized CuP2SF structure, from Alexandria.

abc: 4.022 4.022 5.181
angles: 90.00 90.00 90.00
Space group P4/mmm (No. 123)
Asymmetric unit:
1 Cu 0.000 0.000 0.000
2 P 0.000 0.500 0.500
3 S 0.500 0.500 0.000
4 F 0.500 0.500 0.500

Final energy   -3.32 eV per atom
Formation energy without anion corrections   4.29 eV per formula unit
Excess energy over the best structure of this formula in the dataset   190 meV/atom

---

Record 4
The following is a PBE-GGA calculation of a geometry-optimized CuPS2F structure, from Alexandria.

abc: 4.395 4.395 4.640
angles: 90.00 90.00 90.00
Space group P4/mmm (No. 123)
Asymmetric unit:
1 Cu 0.000 0.000 0.000
2 P 0.000 0.000 0.500
3 S 0.000 0.500 0.000
4 F 0.500 0.500 0.500

Final energy   -3.28 eV per atom
Formation energy without anion corrections   3.21 eV per formula unit
Excess energy over the best structure of this formula in the dataset   0 meV/atom

---

Record 5
The following is a PBE-GGA calculation of a geometry-optimized CuSbPF2 structure, from Alexandria.

abc: 4.197 4.197 5.502
angles: 90.00 90.00 90.00
Space group P4/mmm (No. 123)
Asymmetric unit:
1 Cu 0.000 0.000 0.000
2 Sb 0.500 0.500 0.500
3 P 0.500 0.500 0.000
4 F 0.000 0.500 0.500

Final energy   -4.15 eV per atom
Formation energy without anion corrections   -3.36 eV per formula unit

---

Record 6
The following is a PBE-GGA calculation of a geometry-optimized SmCuPF structure, from Alexandria.

abc: 3.828 3.828 8.433
angles: 90.00 90.00 90.00
Space group P4/nmm (No. 129, origin choice 2)
Asymmetric unit:
1 Sm 0.250 0.250 0.190
2 Cu 0.250 0.750 0.500
3 P 0.250 0.250 0.674
4 F 0.250 0.750 0.000

Final energy   -5.98 eV per atom
Formation energy without anion corrections   -7.83 eV per formula unit

---

Record 7
The following is a PBE-GGA calculation of a geometry-optimized CuSnP2F structure, from Alexandria.

abc: 4.704 4.704 3.982
angles: 90.00 90.00 90.00
Space group P4/mmm (No. 123)
Asymmetric unit:
1 Cu 0.000 0.000 0.000
2 Sn 0.500 0.500 0.000
3 P 0.000 0.500 0.500
4 F 0.000 0.000 0.500

Final energy   -3.81 eV per atom
Formation energy without anion corrections   1.76 eV per formula unit

---

Record 8
The following is a PBE-GGA calculation of a geometry-optimized TaCu2PF structure, from Alexandria.

abc: 4.451 4.451 3.755
angles: 90.00 90.00 90.00
Space group P4/mmm (No. 123)
Asymmetric unit:
1 Ta 0.000 0.000 0.000
2 Cu 0.000 0.500 0.500
3 P 0.500 0.500 0.500
4 F 0.500 0.500 0.000

Final energy   -5.01 eV per atom
Formation energy without anion corrections   2.29 eV per formula unit

---

Record 9
The following is a PBE-GGA calculation of a geometry-optimized TlCuP2F structure, from Alexandria.

abc: 4.328 4.328 5.089
angles: 90.00 90.00 90.00
Space group P4/mmm (No. 123)
Asymmetric unit:
1 Tl 0.000 0.000 0.000
2 Cu 0.500 0.500 0.000
3 P 0.000 0.500 0.500
4 F 0.000 0.000 0.500

Final energy   -3.26 eV per atom
Formation energy without anion corrections   2.85 eV per formula unit

---

Record 10
The following is a PBE-GGA calculation of a geometry-optimized PaCuF6 structure, from Alexandria.

abc: 5.497 5.499 6.005
angles: 89.98 62.88 60.16
Space group P-1 (No. 2)
Asymmetric unit:
1 Pa 0.000 0.000 0.000
2 Cu 0.000 0.500 0.500
3 F 0.120 0.627 0.755
4 F 0.130 0.746 0.245
5 F 0.495 0.879 0.757

Final energy   -6.19 eV per atom
Formation energy without anion corrections   -24.73 eV per formula unit

---

Record 11
The following is a PBE-GGA calculation of a geometry-optimized PaCu2F11 structure, from Alexandria.

abc: 8.483 8.501 10.597
angles: 90.00 90.00 90.00
Space group Ibam (No. 72)
Asymmetric unit:
1 Pa 0.000 0.000 0.250
2 Cu 0.163 0.337 0.000
3 F 0.000 0.500 0.000
4 F 0.061 0.210 0.137
5 F 0.188 0.312 0.500
6 F 0.210 0.061 0.363

Final energy   -4.99 eV per atom
Formation energy without anion corrections   -31.57 eV per formula unit

---

Record 12
The following is a PBE-GGA calculation of a geometry-optimized PaCu2F8 structure, from Alexandria.

abc: 5.816 5.816 10.423
angles: 90.00 90.00 90.00
Space group I422 (No. 97)
Asymmetric unit:
1 Pa 0.000 0.000 0.000
2 Cu 0.000 0.500 0.250
3 F 0.131 0.290 0.881

Final energy   -5.65 eV per atom
Formation energy without anion corrections   -29.47 eV per formula unit
Excess energy over the best structure of this formula in the dataset   0 meV/atom